Record 1
Y3PuBi4, optimized geometry, DFT PBE-GGA; space group = No. 65; size of the total moment = 5.16 μB/cell; energy above the lowest structure with this stoichiometry = 2 meV per atom; D(E_F) = 18.04 states/eV/f.u.
1.0
4.501 -6.359 0.000
4.501 6.359 0.000
0.000 0.000 4.501
Y Pu Bi
3 1 4
Cartesian
0.000 0.000 0.000
2.251 3.179 2.251
2.251 -3.179 2.251
4.501 0.000 0.000
2.236 0.000 2.251
4.501 3.189 0.000
4.501 -3.189 0.000
6.766 0.000 2.251

---

Record 2
YPuBi6, optimized geometry, DFT PBE-GGA; space group = No. 38; size of the total moment = 0.10 μB/cell; D(E_F) = 15.18 states/eV/f.u.
1.0
4.577 0.000 0.000
0.000 2.312 11.675
0.000 -2.312 11.675
Y Pu Bi
1 1 6
Cartesian
0.000 0.000 0.000
2.289 0.000 8.139
0.000 0.000 5.647
0.000 0.000 14.505
0.000 0.000 20.151
2.289 0.000 2.411
2.289 0.000 11.276
2.289 0.000 17.349

---

Record 3
Y2PuBi3, optimized geometry, DFT PBE-GGA; space group = No. 70; size of the total moment = 20.47 μB/cell; energy above the lowest structure with this stoichiometry = 0 meV per atom; D(E_F) = 16.30 states/eV/f.u.
1.0
0.000 6.369 13.497
4.506 0.000 13.497
4.506 6.369 0.000
Y Pu Bi
8 4 12
Cartesian
1.126 1.592 1.124
3.379 4.777 3.378
1.126 1.592 5.625
5.632 7.961 10.127
3.379 4.777 16.868
7.885 11.146 21.370
5.632 7.961 23.617
7.885 11.146 25.871
3.379 4.777 7.873
3.379 4.777 12.373
5.632 7.961 14.622
5.632 7.961 19.122
3.371 1.587 7.878
5.646 4.777 10.123
3.388 1.587 12.368
5.641 4.771 14.626
7.899 7.961 16.872
5.624 4.771 19.117
3.388 7.967 7.878
1.113 4.777 10.123
3.371 7.967 12.368
5.624 11.151 14.626
3.366 7.961 16.872
5.641 11.151 19.117

---

Record 4
Y5PuBi4, optimized geometry, DFT PBE-GGA; space group = No. 12; size of the total moment = 5.87 μB/cell; D(E_F) = 18.07 states/eV/f.u.
1.0
9.538 -2.217 0.000
9.538 2.217 0.000
-2.397 0.000 8.186
Y Pu Bi
5 1 4
Cartesian
0.000 0.000 0.000
5.723 0.000 1.203
4.826 0.000 5.617
11.853 0.000 2.570
10.956 0.000 6.984
-1.199 0.000 4.093
1.860 0.000 4.794
8.748 0.000 1.948
7.931 0.000 6.238
14.819 0.000 3.393

---

no.,ΔH_f (0 K) (eV/atom),volume (A^3/atom)
1,-0.749,32.2
2,0.054,30.9
3,-0.705,32.3
4,-0.414,34.6